Material: HfIrS2N
Method: DFT, PBEsol
State: optimized geometry

Computed properties:
Magnetic moment in μB/atom: 0.0000
Energy relative to the elements, uncorrected in meV per atom: 347
Space group: No. 123

Cell and atoms, written as POSCAR:
```
HfIrS2N
1.0
4.1478 0.0000 0.0000
0.0000 4.1478 0.0000
0.0000 0.0000 4.1234
Hf Ir S N
1 1 2 1
direct
0.0000 0.0000 0.0000
0.5000 0.5000 0.0000
0.0000 0.5000 0.5000
0.5000 0.0000 0.5000
0.0000 0.0000 0.5000
```



Material: LiAl2TcP
Method: DFT, PBEsol
State: optimized geometry

Computed properties:
Calculated formation energy in eV per atom: 0.4767
Magnetic moment in μB/atom: 0.0000
Space group: No. 123

Cell and atoms, written as POSCAR:
```
LiAl2TcP
1.0
4.6562 0.0000 0.0000
0.0000 4.6562 0.0000
0.0000 0.0000 4.3261
Li Al Tc P
1 2 1 1
direct
0.0000 0.0000 0.0000
0.0000 0.5000 0.5000
0.5000 0.0000 0.5000
0.5000 0.5000 0.0000
0.5000 0.5000 0.5000
```



Material: SiSb2
Method: DFT, PBEsol
State: optimized geometry

Computed properties:
Offset from the most stable computed form in kJ/mol of atoms: 0.0
Magnetic moment in μB/atom: 0.0000
Energy relative to the elements, uncorrected in meV per atom: 160
Space group: No. 12

Cell and atoms, written as POSCAR:
```
SiSb2
1.0
6.1429 -1.9719 0.0000
6.1429 1.9719 0.0000
-0.0062 0.0000 6.2788
Si Sb
2 4
direct
0.9999 0.9999 0.1899
0.0001 0.0001 0.8101
0.3508 0.3508 0.2681
0.3510 0.3510 0.7314
0.6490 0.6490 0.2686
0.6492 0.6492 0.7319
```



Material: TlNiW
Method: DFT, PBEsol
State: optimized geometry

Computed properties:
Calculated formation energy in eV per atom: 0.6125
Magnetic moment in μB/atom: 0.0005
Space group: No. 156

Cell and atoms, written as POSCAR:
```
TlNiW
1.0
2.9028 0.0000 0.0000
-1.4514 2.5139 0.0000
0.0000 0.0000 6.6823
Tl Ni W
1 1 1
direct
0.0000 0.0000 0.0000
0.6667 0.3333 0.3332
0.3333 0.6667 0.6184
```



no.,theoretical density (Mg/m³)
1,10.506
2,3.362
3,5.930
4,15.219